An optimized crystal structure of SrInAg2Hg, computed with PBE.

Cell lengths 7.236, 7.236, 7.236 Å; angles 144.39, 143.95, 51.58 degrees
Element x y z (fractional)
Sr (0.000, 0.000, 0.000)
In (0.240, 0.740, 0.500)
Ag (0.606, 0.606, 0.000)
Ag (0.745, 0.245, 0.500)
Hg (0.392, 0.392, 0.000)

Crystal system: orthorhombic
Formation energy from the elements in meV per atom: -260
ΔE to the lowest computed polymorph in kJ/mol of formula units: 0
Raw total energy in eV per atom: -2.35